No. 1
NbTc2 | GGA-PBE | optimized geometry

Values from the calculation:
The calculation puts the formation energy at -0.059 eV per atom.

Cell: 7.2926 7.2926 7.2926 Å, 90.00 90.00 90.00°
Space group Fd-3m (No. 227, origin choice 2)
Unique sites:
Nb 0.1250 0.1250 0.1250 (multiplicity 8)
Tc 0.0000 0.0000 0.5000 (multiplicity 16)



No. 2
ZrFeSiPd | GGA-PBE | optimized geometry

Values from the calculation:
For the total energy, the calculation gives -114.67 eV per cell.

Cell: 6.3135 6.3135 6.3135 Å, 90.00 90.00 90.00°
Space group F-43m (No. 216)
Unique sites:
Zr 0.0000 0.0000 0.0000 (multiplicity 4)
Fe 0.0000 0.0000 0.5000 (multiplicity 4)
Si 0.2500 0.2500 0.2500 (multiplicity 4)
Pd 0.2500 0.2500 0.7500 (multiplicity 4)



No. 3
ReBiPO | GGA-PBE | optimized geometry

Values from the calculation:
For the total energy, the calculation gives -51.70 eV per cell.

Cell: 4.2194 4.2194 9.6597 Å, 90.00 90.00 90.00°
Space group P4/nmm (No. 129, origin choice 2)
Unique sites:
Re 0.2500 0.2500 0.0453 (multiplicity 2)
Bi 0.2500 0.7500 0.5000 (multiplicity 2)
P 0.2500 0.2500 0.2655 (multiplicity 2)
O 0.2500 0.7500 0.0000 (multiplicity 2)



No. 4
Zr4BiAuN2 | GGA-PBE | optimized geometry

Values from the calculation:
For the total energy, the calculation gives -66.08 eV per cell.

Cell: 3.3697 3.3697 14.2161 Å, 90.00 90.00 120.00°
Space group P-6m2 (No. 187)
Unique sites:
Zr 0.0000 0.0000 0.1563 (multiplicity 2)
Zr 0.3333 0.6667 0.3281 (multiplicity 2)
Bi 0.0000 0.0000 0.5000 (multiplicity 1)
Au 0.3333 0.6667 0.0000 (multiplicity 1)
N 0.6667 0.3333 0.2403 (multiplicity 2)



No. 5
Be3Co2Sn2 | GGA-PBE | optimized geometry

Values from the calculation:
For the total energy, the calculation gives -66.76 eV per cell.

Cell: 2.8734 23.2480 2.8609 Å, 90.00 90.00 90.00°
Space group Cmmm (No. 65)
Unique sites:
Be 0.0000 0.0000 0.0000 (multiplicity 2)
Be 0.0000 0.0929 0.0000 (multiplicity 4)
Co 0.0000 0.4459 0.5000 (multiplicity 4)
Sn 0.0000 0.3217 0.5000 (multiplicity 4)



No. 6
SrZnSO | GGA-PBE | optimized geometry

Values from the calculation:
For the total energy, the calculation gives -151.66 eV per cell.

Cell: 7.0202 7.2266 12.2149 Å, 90.00 90.00 90.00°
Space group Pbca (No. 61)
Unique sites:
Sr 0.2491 0.0402 0.2322 (multiplicity 8)
Zn 0.0496 0.7004 0.9382 (multiplicity 8)
S 0.2332 0.0755 0.4916 (multiplicity 8)
O 0.0108 0.7122 0.7789 (multiplicity 8)



No. 7
ScCuBiSe3 | GGA-PBE | optimized geometry

Values from the calculation:
For the total energy, the calculation gives -115.54 eV per cell.

Cell: 3.9565 13.3533 10.0557 Å, 90.00 90.00 90.00°
Space group Cmcm (No. 63)
Unique sites:
Sc 0.0000 0.0000 0.0000 (multiplicity 4)
Cu 0.0000 0.4670 0.2500 (multiplicity 4)
Bi 0.0000 0.2136 0.7500 (multiplicity 4)
Se 0.0000 0.0817 0.2500 (multiplicity 4)
Se 0.0000 0.3587 0.0427 (multiplicity 8)



No. 8
ZrFeAgSb | GGA-PBE | optimized geometry

Values from the calculation:
For the total energy, the calculation gives -93.76 eV per cell.

Cell: 6.5839 6.5839 6.5839 Å, 90.00 90.00 90.00°
Space group F-43m (No. 216)
Unique sites:
Zr 0.0000 0.0000 0.0000 (multiplicity 4)
Fe 0.0000 0.0000 0.5000 (multiplicity 4)
Ag 0.2500 0.2500 0.7500 (multiplicity 4)
Sb 0.2500 0.2500 0.2500 (multiplicity 4)